[1]
DFT (PBE) results for a relaxed structure of SmMgHgGe. Values from VASP.

Cell and atoms, written as Quantum ESPRESSO input:
```
&SYSTEM
  ibrav = 0, nat = 16, ntyp = 4
/
ATOMIC_SPECIES
Sm 150.36 Sm.upf
Mg 24.30 Mg.upf
Hg 200.59 Hg.upf
Ge 72.64 Ge.upf
ATOMIC_POSITIONS angstrom
Sm 0.000 0.000 0.000
Sm 0.000 3.590 3.590
Sm 3.590 0.000 3.590
Sm 3.590 3.590 0.000
Mg 0.000 0.000 3.590
Mg 0.000 3.590 0.000
Mg 3.590 0.000 0.000
Mg 3.590 3.590 3.590
Hg 1.795 1.795 1.795
Hg 1.795 5.384 5.384
Hg 5.384 1.795 5.384
Hg 5.384 5.384 1.795
Ge 1.795 1.795 5.384
Ge 1.795 5.384 1.795
Ge 5.384 1.795 1.795
Ge 5.384 5.384 5.384
CELL_PARAMETERS angstrom
7.179 0.000 0.000
0.000 7.179 0.000
0.000 0.000 7.179
```

Total magnetization = 0.000 μB/atom
Symmetry = F-43m
ρ = 8.04 g/cm³

[2]
DFT (PBE) results for a relaxed structure of SrMgHgGe. Values from VASP.

Cell and atoms, written as Quantum ESPRESSO input:
```
&SYSTEM
  ibrav = 0, nat = 16, ntyp = 4
/
ATOMIC_SPECIES
Sr 87.62 Sr.upf
Mg 24.30 Mg.upf
Hg 200.59 Hg.upf
Ge 72.64 Ge.upf
ATOMIC_POSITIONS angstrom
Sr 0.000 0.000 0.000
Sr 0.000 3.699 3.699
Sr 3.699 0.000 3.699
Sr 3.699 3.699 0.000
Mg 0.000 0.000 3.699
Mg 0.000 3.699 0.000
Mg 3.699 0.000 0.000
Mg 3.699 3.699 3.699
Hg 1.849 1.849 1.849
Hg 1.849 5.548 5.548
Hg 5.548 1.849 5.548
Hg 5.548 5.548 1.849
Ge 1.849 1.849 5.548
Ge 1.849 5.548 1.849
Ge 5.548 1.849 1.849
Ge 5.548 5.548 5.548
CELL_PARAMETERS angstrom
7.397 0.000 0.000
0.000 7.397 0.000
0.000 0.000 7.397
```

Total magnetization = 0.000 μB/atom
Symmetry = F-43m
ρ = 6.32 g/cm³

[3]
DFT (PBE) results for a relaxed structure of ThMgHgGe. Values from VASP.

Cell and atoms, written as Quantum ESPRESSO input:
```
&SYSTEM
  ibrav = 0, nat = 16, ntyp = 4
/
ATOMIC_SPECIES
Th 232.04 Th.upf
Mg 24.30 Mg.upf
Hg 200.59 Hg.upf
Ge 72.64 Ge.upf
ATOMIC_POSITIONS angstrom
Th 0.000 0.000 0.000
Th 0.000 3.622 3.622
Th 3.622 0.000 3.622
Th 3.622 3.622 0.000
Mg 0.000 0.000 3.622
Mg 0.000 3.622 0.000
Mg 3.622 0.000 0.000
Mg 3.622 3.622 3.622
Hg 1.811 1.811 5.433
Hg 1.811 5.433 1.811
Hg 5.433 1.811 1.811
Hg 5.433 5.433 5.433
Ge 1.811 1.811 1.811
Ge 1.811 5.433 5.433
Ge 5.433 1.811 5.433
Ge 5.433 5.433 1.811
CELL_PARAMETERS angstrom
7.244 0.000 0.000
0.000 7.244 0.000
0.000 0.000 7.244
```

Total magnetization = 0.000 μB/atom
Symmetry = F-43m
ρ = 9.26 g/cm³

[4]
DFT (PBE) results for a relaxed structure of TmMgHgGe. Values from VASP.

Cell and atoms, written as Quantum ESPRESSO input:
```
&SYSTEM
  ibrav = 0, nat = 16, ntyp = 4
/
ATOMIC_SPECIES
Tm 168.93 Tm.upf
Mg 24.30 Mg.upf
Hg 200.59 Hg.upf
Ge 72.64 Ge.upf
ATOMIC_POSITIONS angstrom
Tm 0.000 0.000 0.000
Tm 0.000 3.524 3.524
Tm 3.524 0.000 3.524
Tm 3.524 3.524 0.000
Mg 0.000 0.000 3.524
Mg 0.000 3.524 0.000
Mg 3.524 0.000 0.000
Mg 3.524 3.524 3.524
Hg 1.762 1.762 1.762
Hg 1.762 5.286 5.286
Hg 5.286 1.762 5.286
Hg 5.286 5.286 1.762
Ge 1.762 1.762 5.286
Ge 1.762 5.286 1.762
Ge 5.286 1.762 1.762
Ge 5.286 5.286 5.286
CELL_PARAMETERS angstrom
7.048 0.000 0.000
0.000 7.048 0.000
0.000 0.000 7.048
```

Total magnetization = 0.000 μB/atom
Symmetry = F-43m
ρ = 8.85 g/cm³

[5]
DFT (PBE) results for a relaxed structure of YMgHgGe. Values from VASP.

Cell and atoms, written as Quantum ESPRESSO input:
```
&SYSTEM
  ibrav = 0, nat = 16, ntyp = 4
/
ATOMIC_SPECIES
Y 88.91 Y.upf
Mg 24.30 Mg.upf
Hg 200.59 Hg.upf
Ge 72.64 Ge.upf
ATOMIC_POSITIONS angstrom
Y 0.000 0.000 0.000
Y 0.000 3.554 3.554
Y 3.554 0.000 3.554
Y 3.554 3.554 0.000
Mg 0.000 0.000 3.554
Mg 0.000 3.554 0.000
Mg 3.554 0.000 0.000
Mg 3.554 3.554 3.554
Hg 1.777 1.777 1.777
Hg 1.777 5.331 5.331
Hg 5.331 1.777 5.331
Hg 5.331 5.331 1.777
Ge 1.777 1.777 5.331
Ge 1.777 5.331 1.777
Ge 5.331 1.777 1.777
Ge 5.331 5.331 5.331
CELL_PARAMETERS angstrom
7.107 0.000 0.000
0.000 7.107 0.000
0.000 0.000 7.107
```

Total magnetization = 0.000 μB/atom
Symmetry = F-43m
ρ = 7.15 g/cm³

[6]
DFT (PBE) results for a relaxed structure of Mn2HgGe2. Values from VASP.

Cell and atoms, written as Quantum ESPRESSO input:
```
&SYSTEM
  ibrav = 0, nat = 10, ntyp = 3
/
ATOMIC_SPECIES
Mn 54.94 Mn.upf
Hg 200.59 Hg.upf
Ge 72.64 Ge.upf
ATOMIC_POSITIONS angstrom
Mn 0.000 0.000 1.270
Mn 0.000 0.000 10.876
Mn 1.852 1.852 4.803
Mn 1.852 1.852 7.343
Hg 0.000 0.000 6.073
Hg 1.852 1.852 0.000
Ge 0.000 1.852 3.036
Ge 0.000 1.852 9.109
Ge 1.852 0.000 3.036
Ge 1.852 0.000 9.109
CELL_PARAMETERS angstrom
3.703 0.000 0.000
0.000 3.703 0.000
0.000 0.000 12.146
```

Total magnetization = 0.989 μB/atom
Symmetry = I4/mmm
ρ = 9.09 g/cm³

[7]
DFT (PBE) results for a relaxed structure of MnHg2Ge. Values from VASP.

Cell and atoms, written as Quantum ESPRESSO input:
```
&SYSTEM
  ibrav = 0, nat = 16, ntyp = 3
/
ATOMIC_SPECIES
Mn 54.94 Mn.upf
Hg 200.59 Hg.upf
Ge 72.64 Ge.upf
ATOMIC_POSITIONS angstrom
Mn 0.000 0.000 0.000
Mn 0.000 4.623 1.198
Mn 4.623 0.000 3.594
Mn 4.623 4.623 2.396
Hg 1.367 2.311 0.599
Hg 2.311 5.990 1.797
Hg 2.311 7.878 4.192
Hg 3.256 2.311 2.995
Hg 5.990 6.934 2.995
Hg 6.934 1.367 4.192
Hg 6.934 3.256 1.797
Hg 7.878 6.934 0.599
Ge 0.000 0.000 2.396
Ge 0.000 4.623 3.594
Ge 4.623 0.000 1.198
Ge 4.623 4.623 0.000
CELL_PARAMETERS angstrom
9.246 0.000 0.000
0.000 9.246 0.000
0.000 0.000 4.791
```

Total magnetization = 0.762 μB/atom
Symmetry = I-42d
ρ = 8.57 g/cm³

[8]
DFT (PBE) results for a relaxed structure of MnHgGe3. Values from VASP.

Cell and atoms, written as Quantum ESPRESSO input:
```
&SYSTEM
  ibrav = 0, nat = 5, ntyp = 3
/
ATOMIC_SPECIES
Mn 54.94 Mn.upf
Hg 200.59 Hg.upf
Ge 72.64 Ge.upf
ATOMIC_POSITIONS angstrom
Mn 0.000 0.000 0.000
Hg 2.328 2.328 2.328
Ge 0.000 0.000 2.328
Ge 0.000 2.328 0.000
Ge 2.328 0.000 0.000
CELL_PARAMETERS angstrom
4.656 0.000 0.000
0.000 4.656 0.000
0.000 0.000 4.656
```

Polymorph energy (0 for the lowest one) = 0 meV/atom
Total magnetization = 0.169 μB/atom
Symmetry = Pm-3m
ρ = 7.79 g/cm³

What are the ΔH_f (0 K) values for these records? In order: -1.6; -1.5; -1.2; -1.5; -1.6; 1.3; 1.7; 0.8 eV/f.u..